(1)
! BAuC2 (GGA-PBE, optimized geometry); values from VASP
! magnetic moment	0.000	μB/cell
! space group	I-42d, No. 122
! energy relative to the elements	1.11	eV per atom
! Fermi-level density of states	1.01	states/eV/f.u.
&SYSTEM
  ibrav = 0, nat = 16, ntyp = 3
/
ATOMIC_SPECIES
B 10.81 B.upf
Au 196.97 Au.upf
C 12.01 C.upf
CELL_PARAMETERS angstrom
4.513 0.000 0.000
0.000 4.513 0.000
0.000 0.000 7.890
ATOMIC_POSITIONS angstrom
B 0.000 0.000 0.000
B 0.000 2.256 1.973
B 2.256 0.000 5.918
B 2.256 2.256 3.945
Au 0.000 0.000 3.945
Au 0.000 2.256 5.918
Au 2.256 0.000 1.973
Au 2.256 2.256 0.000
C 0.675 1.128 0.986
C 1.128 2.931 2.959
C 1.128 3.838 6.904
C 1.581 1.128 4.931
C 2.931 3.384 4.931
C 3.384 0.675 6.904
C 3.384 1.581 2.959
C 3.838 3.384 0.986

=====

(2)
! BAuC (GGA-PBE, optimized geometry); values from VASP
! magnetic moment	0.000	μB/cell
! space group	C2/m, No. 12
! energy relative to the elements	0.47	eV per atom
! Fermi-level density of states	0.51	states/eV/f.u.
&SYSTEM
  ibrav = 0, nat = 12, ntyp = 3
/
ATOMIC_SPECIES
B 10.81 B.upf
Au 196.97 Au.upf
C 12.01 C.upf
CELL_PARAMETERS angstrom
5.197 0.000 0.000
0.000 6.951 0.000
-1.409 0.000 5.362
ATOMIC_POSITIONS angstrom
B 0.034 0.000 2.126
B 1.156 3.476 3.237
B 2.632 3.476 2.126
B 3.755 0.000 3.237
Au -0.704 2.135 2.681
Au -0.704 4.817 2.681
Au 1.894 1.341 2.681
Au 1.894 5.610 2.681
C -0.001 0.000 0.622
C 1.191 3.476 4.740
C 2.597 3.476 0.622
C 3.789 0.000 4.740